Material: Li2AcMoO6
Method: DFT, PBE+U
State: relaxed

crystal system: monoclinic
E_tot: -0.2392 Ha/atom
total magnetization: 0.11 μB per atom

Unit cell a=5.5945 b=5.3763 c=9.8162 alpha=90.00 beta=122.49 gamma=90.00
Space group P2_1/c (No. 14)
Inequivalent atoms, fractional coordinates:
Li 0.1942 0.0221 0.2390
Ac 0.0000 0.0000 0.5000
Mo 0.5000 0.0000 0.0000
O 0.1683 0.1046 0.7897
O 0.2591 0.6007 0.5715
O 0.4953 0.6614 0.9187